Computed, not measured: Li2MnCo3O8 at its PBEsol-relaxed geometry at the SCAN level of DFT.

Computed properties:
Total moment, μB/cell: 4.1
DFT total energy, eV/atom: -10.74
Fermi-level density of states, states/eV/f.u.: 5.99
Energy relative to the lowest polymorph listed for this composition, meV per atom: 2

Cell and atoms, written as POSCAR:
```
Li2MnCo3O8
1.0
5.600 -0.026 -0.018
2.766 4.869 -0.018
2.766 1.601 4.599
O Li Mn Co
8 2 1 3
direct
0.262 0.262 0.710 O
0.735 0.735 0.735 O
0.738 0.738 0.290 O
0.265 0.265 0.265 O
0.262 0.710 0.262 O
0.290 0.738 0.738 O
0.738 0.290 0.738 O
0.710 0.262 0.262 O
0.876 0.876 0.876 Li
0.124 0.124 0.124 Li
0.500 0.500 0.500 Mn
0.500 0.500 0.000 Co
0.000 0.500 0.500 Co
0.500 0.000 0.500 Co
```